CrSb2Ir: optimized geometry, PBE-GGA.

The polymorph energy (0 for the lowest one) is 1.17 eV/f.u. Its crystal system is trigonal. The formation energy without anion corrections comes out at 363 meV per atom. The value obtained for the total magnetic moment is 8.37 Bohr magnetons per cell.

The structure belongs to space group R-3m (No. 166, hexagonal axes); the cell edges are 3.2472, 3.2472 and 24.8181 Å and the angles 90.00°, 90.00° and 120.00°. The distinct sites, in fractional coordinates, are Cr at (0.0000, 0.0000, 0.0000), Sb at (0.0000, 0.0000, 0.2492) and Ir at (0.0000, 0.0000, 0.5000).